{"formula": "PrDy7Th3", "functional": "PBE", "state": "relaxed", "lattice": [[-4.2402, -1.8175, 4.8676], [7.6096, -0.4858, 4.1348], [-0.2884, 5.7492, 2.9202]], "species": ["Pr", "Dy", "Dy", "Dy", "Dy", "Dy", "Dy", "Dy", "Th", "Th", "Th"], "fractional_positions": [[0.5000, 0.5000, 0.5000], [0.2301, 0.2046, 0.2902], [0.2849, 0.8574, 0.5706], [0.7330, 0.4236, 0.0078], [0.2670, 0.5764, 0.9922], [0.0000, 0.5000, 0.5000], [0.7151, 0.1426, 0.4294], [0.7699, 0.7954, 0.7098], [0.9494, 0.8374, 0.1774], [0.5000, 0.0000, 0.0000], [0.0506, 0.1626, 0.8226]], "vol_a3_per_atom": 32.9, "e_above_lowest_polymorph_mev_per_atom": 0.0, "magmom_total_mub_per_cell": 0.00, "formation_energy_ev_per_atom": 0.151}


{"formula": "CdHg2W", "functional": "PBE", "state": "relaxed", "lattice": [[-2.5870, 0.5489, 1.3154], [2.2231, -1.1822, 4.8653], [2.6455, 3.9557, 3.5522]], "species": ["Hg", "Hg", "W", "Cd"], "fractional_positions": [[0.0000, 0.0000, 0.0000], [0.5000, 0.5000, 0.0000], [0.5000, 0.5000, 0.5000], [0.0000, 0.0000, 0.5000]], "vol_a3_per_atom": 19.8, "magmom_total_mub_per_cell": 0.00, "formation_energy_ev_per_atom": 0.590}


{"formula": "ScTc2BiC", "functional": "PBE", "state": "relaxed", "lattice": [[5.0560, 0.0000, 0.0000], [0.0000, 5.4459, 0.0000], [0.0000, 0.0000, 5.0560]], "species": ["Sc", "C", "Bi", "Tc", "Tc"], "fractional_positions": [[0.0000, 0.5000, 0.0000], [0.5000, 0.5000, 0.5000], [0.0000, 0.0000, 0.0000], [0.0000, 0.0000, 0.5000], [0.5000, 0.0000, 0.0000]], "vol_a3_per_atom": 27.8, "magmom_total_mub_per_cell": 2.89, "formation_energy_ev_per_atom": 2.918}


{"formula": "CsNiSn2", "functional": "PBE", "state": "relaxed", "lattice": [[4.3208, 0.0000, 0.0000], [2.1604, 3.7420, 0.0000], [2.1604, 1.2473, 7.7949]], "species": ["Cs", "Ni", "Sn", "Sn"], "fractional_positions": [[0.5000, 0.5000, 0.5000], [0.0000, 0.0000, 0.0000], [0.2935, 0.2935, 0.1195], [0.7065, 0.7065, 0.8805]], "vol_a3_per_atom": 31.5, "magmom_total_mub_per_cell": 0.00, "formation_energy_ev_per_atom": -0.173}


{"formula": "P2IrSeCl", "functional": "PBE", "state": "relaxed", "lattice": [[-1.9531, -0.6796, -4.1515], [3.9339, -1.9167, -1.5370], [-1.5232, -4.2603, 1.4140]], "species": ["P", "P", "Ir", "Se", "Cl"], "fractional_positions": [[0.0000, 0.5000, 0.0000], [0.5000, 0.0000, 0.0000], [0.0000, 0.0000, 0.0000], [0.5000, 0.5000, 0.5000], [0.0000, 0.0000, 0.5000]], "vol_a3_per_atom": 20.4, "e_above_lowest_polymorph_mev_per_atom": 0.0, "magmom_total_mub_per_cell": 0.00, "raw_formation_energy_ev_per_atom": 0.547}


{"formula": "MgFe2N", "functional": "PBE", "state": "relaxed", "lattice": [[6.2925, 0.0000, 0.0000], [0.0000, 6.2925, 0.0000], [3.1462, 3.1462, 2.3768]], "species": ["Mg", "Mg", "Fe", "Fe", "Fe", "Fe", "N", "N"], "fractional_positions": [[0.0000, 0.0000, 0.0000], [0.7500, 0.2500, 0.5000], [0.4935, 0.1250, 0.2500], [0.2565, 0.6250, 0.2500], [0.3750, 0.5065, 0.7500], [0.8750, 0.7435, 0.7500], [0.5000, 0.5000, 0.0000], [0.2500, 0.7500, 0.5000]], "vol_a3_per_atom": 11.8, "e_above_lowest_polymorph_mev_per_atom": 0.0, "magmom_total_mub_per_cell": 3.79, "raw_formation_energy_ev_per_atom": 0.098}


{"formula": "Pu2PaGe", "functional": "PBE", "state": "relaxed", "lattice": [[4.5399, 0.0000, 0.0000], [0.0000, 4.4601, 0.0000], [0.0000, 0.0000, 4.4601]], "species": ["Ge", "Pa", "Pu", "Pu"], "fractional_positions": [[0.5000, 0.0000, 0.0000], [0.5000, 0.5000, 0.5000], [0.0000, 0.0000, 0.5000], [0.0000, 0.5000, 0.0000]], "vol_a3_per_atom": 22.6, "e_above_lowest_polymorph_mev_per_atom": 0.0, "magmom_total_mub_per_cell": 11.02, "formation_energy_ev_per_atom": -0.249}


{"formula": "Li4In7Hg", "functional": "PBE", "state": "relaxed", "lattice": [[-1.5453, -5.0991, -2.3060], [4.2959, -4.7425, -8.1590], [4.8621, -3.0317, 1.9950]], "species": ["Li", "Li", "Li", "Li", "In", "In", "In", "In", "In", "In", "In", "Hg"], "fractional_positions": [[0.5553, 0.2566, 0.6289], [0.4447, 0.7434, 0.3711], [0.5942, 0.7290, 0.8526], [0.4058, 0.2710, 0.1474], [0.8245, 0.9269, 0.5227], [0.1755, 0.0731, 0.4773], [0.0504, 0.6126, 0.2581], [0.9496, 0.3874, 0.7419], [0.2819, 0.5617, 0.7700], [0.5000, 0.0000, 0.0000], [0.7181, 0.4383, 0.2300], [0.0000, 0.0000, 0.0000]], "vol_a3_per_atom": 23.0, "magmom_total_mub_per_cell": 0.00, "formation_energy_ev_per_atom": -0.149}


{"formula": "MnSiAsSe2", "functional": "PBE", "state": "relaxed", "lattice": [[4.7796, 0.0000, 0.0000], [0.0000, 4.7796, 0.0000], [0.0000, 0.0000, 4.4705]], "species": ["As", "Mn", "Si", "Se", "Se"], "fractional_positions": [[0.0000, 0.0000, 0.5000], [0.0000, 0.0000, 0.0000], [0.5000, 0.5000, 0.5000], [0.0000, 0.5000, 0.0000], [0.5000, 0.0000, 0.0000]], "vol_a3_per_atom": 20.4, "e_above_lowest_polymorph_mev_per_atom": 0.0, "magmom_total_mub_per_cell": 0.00, "raw_formation_energy_ev_per_atom": 0.618}


{"formula": "PmLuGa", "functional": "PBE", "state": "relaxed", "lattice": [[-1.6211, -0.7103, 3.0094], [-1.1177, -3.0336, -1.3180], [6.7422, -1.0641, 1.3555]], "species": ["Lu", "Ga", "Pm"], "fractional_positions": [[0.2588, 0.2588, 0.5177], [0.6228, 0.6228, 0.2457], [0.9683, 0.9683, 0.9367]], "vol_a3_per_atom": 26.4, "e_above_lowest_polymorph_mev_per_atom": 0.0, "magmom_total_mub_per_cell": 0.00, "formation_energy_ev_per_atom": -0.358}